Record 1
First-principles (PBE) data for crystalline Ac12Nd5Er2 at its relaxed geometry, as listed in Alexandria via LeMat-Bulk.

```
Ac12Nd5Er2
1.0
6.541 -0.092 1.293
1.365 10.219 5.041
-0.056 -0.464 11.467
Ac Nd Er
12 5 2
Direct
0.017 0.893 0.893
0.202 0.544 0.065
0.202 0.065 0.544
0.629 0.651 0.146
0.629 0.146 0.651
0.273 0.439 0.439
0.727 0.561 0.561
0.371 0.349 0.854
0.371 0.854 0.349
0.798 0.456 0.935
0.798 0.935 0.456
0.983 0.107 0.107
0.434 0.214 0.214
0.858 0.314 0.314
0.500 0.000 0.000
0.142 0.686 0.686
0.566 0.786 0.786
0.000 0.242 0.758
0.000 0.758 0.242
```

Computed properties:
- ΔH_f (0 K) (eV per atom) = 0.12
- SG = C2/m (12)
- D(E_F) (states/eV/atom) = 1.483
- total magnetization (μB/cell) = 0.0


Record 2
First-principles (PBE) data for crystalline LiNdGdSc at its relaxed geometry, as listed in Alexandria via LeMat-Bulk.

```
LiNdGdSc
1.0
-3.982 -2.874 2.290
0.095 -5.413 -0.218
0.970 -2.876 4.488
Sc Gd Nd Li
1 1 1 1
Direct
0.500 0.500 0.500
0.750 0.750 0.750
0.250 0.250 0.250
0.000 0.000 0.000
```

Computed properties:
- ΔH_f (0 K) (eV per atom) = 0.14
- SG = F-43m (216)
- D(E_F) (states/eV/atom) = 1.108
- total magnetization (μB/cell) = 7.2


Record 3
First-principles (PBE) data for crystalline SrZnInCl5 at its relaxed geometry, as listed in Alexandria via LeMat-Bulk.

```
SrZnInCl5
1.0
-3.442 0.476 -6.837
-3.542 -5.668 3.761
-2.990 8.483 4.890
Sr Zn In Cl
2 2 2 10
Direct
0.000 0.000 0.500
0.000 0.000 0.000
0.682 0.318 0.250
0.318 0.682 0.750
0.341 0.659 0.250
0.659 0.341 0.750
0.099 0.901 0.250
0.901 0.099 0.750
0.913 0.335 0.141
0.087 0.665 0.859
0.665 0.087 0.359
0.335 0.913 0.641
0.741 0.600 0.426
0.259 0.400 0.574
0.400 0.259 0.074
0.600 0.741 0.926
```

Computed properties:
- formation energy without anion corrections (eV per atom) = -1.556
- SG = C2/c (15)
- D(E_F) (states/eV/atom) = 0.000
- total magnetization (μB/cell) = 0.0